Density functional theory data (PBE-GGA) for a relaxed Ho7Al2Cd2 crystal.

Calculated values
Final energy: -3.75 eV per atom

a = 7.387 Å, b = 11.129 Å, c = 7.827 Å
α = 90.00°, β = 90.00°, γ = 90.00°
Space group Cmmm (No. 65)
Unique sites:
Ho: 0.000 0.000 0.000 x2
Ho: 0.000 0.500 0.240 x4
Ho: 0.250 0.250 0.285 x8
Al: 0.000 0.287 0.000 x4
Cd: 0.185 0.000 0.500 x4

---

Density functional theory data (PBE-GGA) for a relaxed Ho7Al5Cd crystal.

Calculated values
Final energy: -4.19 eV per atom

a = 6.237 Å, b = 9.872 Å, c = 10.565 Å
α = 90.00°, β = 90.00°, γ = 90.00°
Space group Imm2 (No. 44)
Unique sites:
Ho: 0.000 0.000 0.000 x2
Ho: 0.000 0.000 0.363 x2
Ho: 0.000 0.315 0.586 x4
Ho: 0.000 0.330 0.079 x4
Ho: 0.000 0.500 0.330 x2
Al: 0.000 0.500 0.830 x2
Al: 0.222 0.245 0.838 x8
Cd: 0.000 0.000 0.678 x2

---

Density functional theory data (PBE-GGA) for a relaxed Ho4Al2Cd crystal.

Calculated values
Final energy: -4.04 eV per atom

a = 5.1101 Å, b = 5.1101 Å, c = 24.6600 Å
α = 90.00°, β = 90.00°, γ = 120.00°
Space group R-3m (No. 166, hexagonal axes)
Unique sites:
Ho: 0.0000 0.0000 0.1170 x6
Ho: 0.0000 0.0000 0.3699 x6
Al: 0.0000 0.0000 0.2472 x6
Cd: 0.0000 0.0000 0.5000 x3

---

Density functional theory data (PBE-GGA) for a relaxed Ho3Al2Cd4 crystal.

Calculated values
Final energy: -3.11 eV per atom

a = 10.886 Å, b = 4.809 Å, c = 9.021 Å
α = 90.00°, β = 117.67°, γ = 90.00°
Space group C2/m (No. 12)
Unique sites:
Ho: 0.000 0.000 0.000 x2
Ho: 0.165 0.500 0.670 x4
Al: 0.108 0.500 0.276 x4
Cd: 0.076 0.000 0.405 x4
Cd: 0.202 0.500 0.040 x4

---

Density functional theory data (PBE-GGA) for a relaxed Ho6AlCd crystal.

Calculated values
Final energy: -3.89 eV per atom

a = 8.550 Å, b = 6.643 Å, c = 9.063 Å
α = 90.00°, β = 108.06°, γ = 90.00°
Space group C2/m (No. 12)
Unique sites:
Ho: 0.150 0.000 0.445 x4
Ho: 0.187 0.249 0.806 x8
Al: 0.000 0.000 0.000 x2
Cd: 0.000 0.500 0.500 x2

---

Density functional theory data (PBE-GGA) for a relaxed Ho4AlCd3 crystal.

Calculated values
Final energy: -3.38 eV per atom

a = 3.605 Å, b = 4.801 Å, c = 11.909 Å
α = 90.00°, β = 90.00°, γ = 90.00°
Space group Pmm2 (No. 25)
Unique sites:
Ho: 0.000 0.000 0.000 x1
Ho: 0.000 0.500 0.314 x1
Ho: 0.500 0.000 0.491 x1
Ho: 0.500 0.500 0.818 x1
Al: 0.500 0.000 0.229 x1
Cd: 0.000 0.000 0.729 x1
Cd: 0.000 0.500 0.582 x1
Cd: 0.500 0.500 0.087 x1

---

Density functional theory data (PBE-GGA) for a relaxed Ho4Al2Cd crystal.

Calculated values
Final energy: -3.93 eV per atom

a = 7.144 Å, b = 6.455 Å, c = 8.838 Å
α = 90.00°, β = 113.35°, γ = 90.00°
Space group P2_1/m (No. 11)
Unique sites:
Ho: 0.046 0.250 0.423 x2
Ho: 0.057 0.750 0.228 x2
Ho: 0.414 0.011 0.773 x4
Al: 0.211 0.750 0.954 x2
Al: 0.487 0.750 0.507 x2
Cd: 0.205 0.250 0.137 x2

---

Density functional theory data (PBE-GGA) for a relaxed Ho4Al2Cd5 crystal.

Calculated values
Final energy: -3.05 eV per atom

a = 7.736 Å, b = 3.524 Å, c = 9.850 Å
α = 90.00°, β = 94.85°, γ = 90.00°
Space group P2/m (No. 10)
Unique sites:
Ho: 0.168 0.000 0.378 x2
Ho: 0.266 0.000 0.939 x2
Al: 0.060 0.500 0.130 x2
Cd: 0.183 0.500 0.661 x2
Cd: 0.434 0.500 0.199 x2
Cd: 0.500 0.500 0.500 x1

---

Density functional theory data (PBE-GGA) for a relaxed Ho3Al3Cd crystal.

Calculated values
Final energy: -4.07 eV per atom

a = 11.015 Å, b = 4.535 Å, c = 14.270 Å
α = 90.00°, β = 109.15°, γ = 90.00°
Space group C2/m (No. 12)
Unique sites:
Ho: 0.029 0.000 0.377 x4
Ho: 0.102 0.000 0.922 x4
Ho: 0.236 0.000 0.216 x4
Al: 0.027 0.500 0.228 x4
Al: 0.110 0.500 0.073 x4
Al: 0.122 0.500 0.549 x4
Cd: 0.243 0.500 0.394 x4

---

Density functional theory data (PBE-GGA) for a relaxed Ho3AlCd crystal.

Calculated values
Final energy: -3.94 eV per atom

a = 5.085 Å, b = 20.286 Å, c = 5.086 Å
α = 90.00°, β = 90.00°, γ = 90.00°
Space group Cmcm (No. 63)
Unique sites:
Ho: 0.000 0.062 0.250 x4
Ho: 0.000 0.250 0.250 x4
Ho: 0.000 0.437 0.250 x4
Al: 0.000 0.157 0.750 x4
Cd: 0.000 0.343 0.750 x4

---

Density functional theory data (PBE-GGA) for a relaxed HoLuAlCd crystal.

Calculated values
Final energy: -3.78 eV per atom

a = 7.264 Å, b = 7.264 Å, c = 7.264 Å
α = 90.00°, β = 90.00°, γ = 90.00°
Space group F-43m (No. 216)
Unique sites:
Ho: 0.000 0.000 0.000 x4
Lu: 0.000 0.000 0.500 x4
Al: 0.250 0.250 0.750 x4
Cd: 0.250 0.250 0.250 x4

---

Density functional theory data (PBE-GGA) for a relaxed HoMgAlCd crystal.

Calculated values
Final energy: -2.96 eV per atom

a = 7.085 Å, b = 7.085 Å, c = 7.085 Å
α = 90.00°, β = 90.00°, γ = 90.00°
Space group F-43m (No. 216)
Unique sites:
Ho: 0.000 0.000 0.000 x4
Mg: 0.000 0.000 0.500 x4
Al: 0.250 0.250 0.750 x4
Cd: 0.250 0.250 0.250 x4

---

Density functional theory data (PBE-GGA) for a relaxed NdHoAlCd crystal.

Calculated values
Final energy: -3.84 eV per atom

a = 7.465 Å, b = 7.465 Å, c = 7.465 Å
α = 90.00°, β = 90.00°, γ = 90.00°
Space group F-43m (No. 216)
Unique sites:
Nd: 0.000 0.000 0.000 x4
Ho: 0.000 0.000 0.500 x4
Al: 0.250 0.250 0.250 x4
Cd: 0.250 0.250 0.750 x4

---

Density functional theory data (PBE-GGA) for a relaxed NdHoAlCd crystal.

Calculated values
Final energy: -3.85 eV per atom

a = 3.665 Å, b = 3.665 Å, c = 7.698 Å
α = 90.00°, β = 90.00°, γ = 90.00°
Space group P4mm (No. 99)
Unique sites:
Nd: 0.000 0.000 0.000 x1
Ho: 0.000 0.000 0.476 x1
Al: 0.500 0.500 0.250 x1
Cd: 0.500 0.500 0.719 x1

---

Density functional theory data (PBE-GGA) for a relaxed Ho2Al2CdNi5 crystal.

Calculated values
Final energy: -4.97 eV per atom

a = 9.553 Å, b = 9.553 Å, c = 3.532 Å
α = 90.00°, β = 90.00°, γ = 90.00°
Space group P4/mbm (No. 127)
Unique sites:
Ho: 0.183 0.317 0.000 x4
Al: 0.112 0.612 0.000 x4
Cd: 0.000 0.000 0.000 x2
Ni: 0.000 0.500 0.500 x2
Ni: 0.062 0.778 0.500 x8

---

Density functional theory data (PBE-GGA) for a relaxed HoPaAlCd crystal.

Calculated values
Final energy: -4.69 eV per atom

a = 7.328 Å, b = 7.328 Å, c = 7.328 Å
α = 90.00°, β = 90.00°, γ = 90.00°
Space group F-43m (No. 216)
Unique sites:
Ho: 0.000 0.000 0.000 x4
Pa: 0.000 0.000 0.500 x4
Al: 0.250 0.250 0.750 x4
Cd: 0.250 0.250 0.250 x4

---

Density functional theory data (PBE-GGA) for a relaxed Ho2Al2CdPd5 crystal.

Calculated values
Final energy: -5.09 eV per atom

a = 9.991 Å, b = 9.991 Å, c = 3.679 Å
α = 90.00°, β = 90.00°, γ = 90.00°
Space group P4/mbm (No. 127)
Unique sites:
Ho: 0.179 0.321 0.000 x4
Al: 0.119 0.619 0.000 x4
Cd: 0.000 0.000 0.000 x2
Pd: 0.000 0.500 0.500 x2
Pd: 0.066 0.786 0.500 x8

---

Density functional theory data (PBE-GGA) for a relaxed PrHoAlCd crystal.

Calculated values
Final energy: -3.85 eV per atom

a = 3.670 Å, b = 3.670 Å, c = 7.762 Å
α = 90.00°, β = 90.00°, γ = 90.00°
Space group P4mm (No. 99)
Unique sites:
Pr: 0.000 0.000 0.000 x1
Ho: 0.000 0.000 0.475 x1
Al: 0.500 0.500 0.252 x1
Cd: 0.500 0.500 0.715 x1

---

Density functional theory data (PBE-GGA) for a relaxed PrHoAlCd crystal.

Calculated values
Final energy: -3.83 eV per atom

a = 7.494 Å, b = 7.494 Å, c = 7.494 Å
α = 90.00°, β = 90.00°, γ = 90.00°
Space group F-43m (No. 216)
Unique sites:
Pr: 0.000 0.000 0.000 x4
Ho: 0.000 0.000 0.500 x4
Al: 0.250 0.250 0.750 x4
Cd: 0.250 0.250 0.250 x4

---

Density functional theory data (PBE-GGA) for a relaxed Ho2Al2CdPt5 crystal.

Calculated values
Final energy: -5.71 eV per atom

a = 9.823 Å, b = 9.823 Å, c = 3.752 Å
α = 90.00°, β = 90.00°, γ = 90.00°
Space group P4/mbm (No. 127)
Unique sites:
Ho: 0.178 0.322 0.000 x4
Al: 0.120 0.620 0.000 x4
Cd: 0.000 0.000 0.000 x2
Pt: 0.000 0.500 0.500 x2
Pt: 0.067 0.787 0.500 x8

---

Density functional theory data (PBE-GGA) for a relaxed HoScAlCd crystal.

Calculated values
Final energy: -4.24 eV per atom

a = 7.135 Å, b = 7.135 Å, c = 7.135 Å
α = 90.00°, β = 90.00°, γ = 90.00°
Space group F-43m (No. 216)
Unique sites:
Ho: 0.000 0.000 0.000 x4
Sc: 0.000 0.000 0.500 x4
Al: 0.250 0.250 0.250 x4
Cd: 0.250 0.250 0.750 x4

---

Density functional theory data (PBE-GGA) for a relaxed HoScAlCd crystal.

Calculated values
Final energy: -4.26 eV per atom

a = 3.523 Å, b = 3.523 Å, c = 7.266 Å
α = 90.00°, β = 90.00°, γ = 90.00°
Space group P4mm (No. 99)
Unique sites:
Ho: 0.000 0.000 0.000 x1
Sc: 0.000 0.000 0.523 x1
Al: 0.500 0.500 0.744 x1
Cd: 0.500 0.500 0.284 x1

---

Density functional theory data (PBE-GGA) for a relaxed HoThAlCd crystal.

Calculated values
Final energy: -4.40 eV per atom

a = 7.459 Å, b = 7.459 Å, c = 7.459 Å
α = 90.00°, β = 90.00°, γ = 90.00°
Space group F-43m (No. 216)
Unique sites:
Ho: 0.000 0.000 0.000 x4
Th: 0.000 0.000 0.500 x4
Al: 0.250 0.250 0.250 x4
Cd: 0.250 0.250 0.750 x4

---

Density functional theory data (PBE-GGA) for a relaxed HoAlZnCd crystal.

Calculated values
Final energy: -2.83 eV per atom

a = 6.899 Å, b = 6.899 Å, c = 6.899 Å
α = 90.00°, β = 90.00°, γ = 90.00°
Space group F-43m (No. 216)
Unique sites:
Ho: 0.000 0.000 0.000 x4
Al: 0.000 0.000 0.500 x4
Zn: 0.250 0.250 0.750 x4
Cd: 0.250 0.250 0.250 x4

---

Q: Which size of the total moment values were calculated for the entries above? A: 0.00, 0.00, 0.00, 0.00, 0.00, 0.00, 0.00, 0.00, 0.00, 0.00, 0.00, 0.00, 0.00, 0.00, 0.00, 0.98, 0.00, 0.00, 0.00, 0.00, 0.00, 0.00, 0.00, 0.00, in μB per formula unit.